Record 1
Entry from Alexandria: a geometry-optimized CdHg2Au structure (GGA-PBE).

```
CdHg2Au
1.0
-1.9607 4.8652 0.9332
-5.1258 -0.1394 -1.4467
2.7337 -3.2559 3.2112
Cd Hg Au
1 2 1
Direct
0.7500 0.2500 0.5000
0.0000 0.0000 0.0000
0.2500 0.7500 0.5000
0.5000 0.5000 0.0000
```

Values from the calculation:
**Crystal system**: tetragonal
**Excess energy over the best structure of this formula in the dataset**: 59 meV/atom
**D(E_F)**: 1.6 states/eV/f.u.
**M_tot**: 0.0 μB/f.u.
**Formation enthalpy at 0 K**: 52 meV per atom

***

Record 2
Entry from Alexandria: a geometry-optimized PrErScIn structure (GGA-PBE).

```
PrErScIn
1.0
5.3672 0.0000 0.0000
0.0000 5.3672 0.0000
-2.6836 -2.6836 3.7989
Pr In Sc Er
1 1 1 1
Direct
0.0000 0.0000 0.0000
0.5000 0.5000 0.0000
0.2500 0.7500 0.5000
0.7500 0.2500 0.5000
```

Values from the calculation:
**Crystal system**: cubic
**Excess energy over the best structure of this formula in the dataset**: 71 meV/atom
**D(E_F)**: 6.1 states/eV/f.u.
**M_tot**: 2.0 μB/f.u.
**Formation enthalpy at 0 K**: -84 meV per atom